Record 1
Material: RbIn3Sb
Method: DFT, PBE
State: optimized geometry

Output
DOS(E_F) = 3.9 states/eV/f.u.
E_form (uncorrected) = 1.14 eV/f.u.
crystal system = cubic
E above lowest polymorph = 0.000 eV/atom

Cell and atoms, written as CIF:
```
data_RbIn3Sb
_space_group_name_H-M_alt 'P m -3 m'
_space_group_IT_number 221
_space_group_name_Hall '-P 4 2 3'
_cell_length_a 5.903
_cell_length_b 5.903
_cell_length_c 5.903
_cell_angle_alpha 90.00
_cell_angle_beta 90.00
_cell_angle_gamma 90.00
loop_
_atom_site_label
_atom_site_type_symbol
_atom_site_fract_x
_atom_site_fract_y
_atom_site_fract_z
Rb1 Rb 0.000 0.000 0.000
In1 In 0.000 0.500 0.500
Sb1 Sb 0.500 0.500 0.500
```

---

Record 2
Material: Ba2MnIn
Method: DFT, PBE
State: optimized geometry

Output
DOS(E_F) = 2.5 states/eV/f.u.
formation energy = 0.147 eV/atom
crystal system = cubic
E above lowest polymorph = 0.062 eV/atom

Cell and atoms, written as CIF:
```
data_Ba2MnIn
_space_group_name_H-M_alt 'F m -3 m'
_space_group_IT_number 225
_space_group_name_Hall '-F 4 2 3'
_cell_length_a 8.407
_cell_length_b 8.407
_cell_length_c 8.407
_cell_angle_alpha 90.00
_cell_angle_beta 90.00
_cell_angle_gamma 90.00
loop_
_atom_site_label
_atom_site_type_symbol
_atom_site_fract_x
_atom_site_fract_y
_atom_site_fract_z
Ba1 Ba 0.250 0.250 0.250
Mn1 Mn 0.000 0.000 0.000
In1 In 0.000 0.000 0.500
```

---

Record 3
Material: HfZrC
Method: DFT, PBE
State: optimized geometry

Output
DOS(E_F) = 2.6 states/eV/f.u.
formation energy = -0.133 eV/atom
crystal system = monoclinic
E above lowest polymorph = 0.499 eV/atom

Cell and atoms, written as CIF:
```
data_HfZrC
_space_group_name_H-M_alt 'C 1 m 1'
_space_group_IT_number 8
_space_group_name_Hall 'C -2y'
_cell_length_a 5.700
_cell_length_b 3.251
_cell_length_c 5.680
_cell_angle_alpha 90.00
_cell_angle_beta 103.21
_cell_angle_gamma 90.00
loop_
_atom_site_label
_atom_site_type_symbol
_atom_site_fract_x
_atom_site_fract_y
_atom_site_fract_z
Hf1 Hf 0.000 0.000 0.000
Zr1 Zr 0.163 0.000 0.506
C1 C 0.238 0.500 0.235
```

---

Record 4
Material: PrEu3O
Method: DFT, PBE
State: optimized geometry

Output
DOS(E_F) = 4.2 states/eV/f.u.
E_form (uncorrected) = -4.70 eV/f.u.
crystal system = cubic

Cell and atoms, written as CIF:
```
data_PrEu3O
_space_group_name_H-M_alt 'P m -3 m'
_space_group_IT_number 221
_space_group_name_Hall '-P 4 2 3'
_cell_length_a 5.240
_cell_length_b 5.240
_cell_length_c 5.240
_cell_angle_alpha 90.00
_cell_angle_beta 90.00
_cell_angle_gamma 90.00
loop_
_atom_site_label
_atom_site_type_symbol
_atom_site_fract_x
_atom_site_fract_y
_atom_site_fract_z
Pr1 Pr 0.000 0.000 0.000
Eu1 Eu 0.000 0.500 0.500
O1 O 0.500 0.500 0.500
```

---

Record 5
Material: Pr4Dy15Mg
Method: DFT, PBE
State: optimized geometry

Output
DOS(E_F) = 27.4 states/eV/f.u.
formation energy = 0.023 eV/atom
crystal system = tetragonal

Cell and atoms, written as CIF:
```
data_Pr4Dy15Mg
_space_group_name_H-M_alt 'P 4/m m m'
_space_group_IT_number 123
_space_group_name_Hall '-P 4 2'
_cell_length_a 5.045
_cell_length_b 5.045
_cell_length_c 25.155
_cell_angle_alpha 90.00
_cell_angle_beta 90.00
_cell_angle_gamma 90.00
loop_
_atom_site_label
_atom_site_type_symbol
_atom_site_fract_x
_atom_site_fract_y
_atom_site_fract_z
Pr1 Pr 0.000 0.000 0.101
Pr2 Pr 0.000 0.000 0.303
Dy1 Dy 0.000 0.500 0.000
Dy2 Dy 0.000 0.500 0.202
Dy3 Dy 0.000 0.500 0.404
Dy4 Dy 0.500 0.500 0.102
Dy5 Dy 0.500 0.500 0.305
Dy6 Dy 0.500 0.500 0.500
Mg1 Mg 0.000 0.000 0.500
```

---

Record 6
Material: ZnIO2
Method: DFT, PBE
State: optimized geometry

Output
DOS(E_F) = 0.9 states/eV/f.u.
E_form (uncorrected) = -2.67 eV/f.u.
crystal system = orthorhombic
E above lowest polymorph = 0.000 eV/atom

Cell and atoms, written as CIF:
```
data_ZnIO2
_space_group_name_H-M_alt 'F 2 2 2'
_space_group_IT_number 22
_space_group_name_Hall 'F 2 2'
_cell_length_a 4.742
_cell_length_b 4.771
_cell_length_c 12.603
_cell_angle_alpha 90.00
_cell_angle_beta 90.00
_cell_angle_gamma 90.00
loop_
_atom_site_label
_atom_site_type_symbol
_atom_site_fract_x
_atom_site_fract_y
_atom_site_fract_z
Zn1 Zn 0.000 0.000 0.000
I1 I 0.250 0.250 0.250
O1 O 0.250 0.250 0.085
```

---

Record 7
Material: ErGeS3
Method: DFT, PBE
State: optimized geometry

Output
DOS(E_F) = 0.0 states/eV/f.u.
E_form (uncorrected) = -5.48 eV/f.u.
crystal system = monoclinic
E above lowest polymorph = 0.000 eV/atom

Cell and atoms, written as CIF:
```
data_ErGeS3
_space_group_name_H-M_alt 'P 1 21/c 1'
_space_group_IT_number 14
_space_group_name_Hall '-P 2ybc'
_cell_length_a 6.502
_cell_length_b 7.022
_cell_length_c 11.620
_cell_angle_alpha 90.00
_cell_angle_beta 121.92
_cell_angle_gamma 90.00
loop_
_atom_site_label
_atom_site_type_symbol
_atom_site_fract_x
_atom_site_fract_y
_atom_site_fract_z
Er1 Er 0.195 0.122 0.255
Ge1 Ge 0.152 0.612 0.066
S1 S 0.078 0.165 0.916
S2 S 0.267 0.699 0.924
S3 S 0.428 0.033 0.757
```

---

Record 8
Material: FePPb3
Method: DFT, PBE
State: optimized geometry

Output
DOS(E_F) = 5.7 states/eV/f.u.
formation energy = 0.502 eV/atom
crystal system = cubic
E above lowest polymorph = 0.000 eV/atom

Cell and atoms, written as CIF:
```
data_FePPb3
_space_group_name_H-M_alt 'P m -3 m'
_space_group_IT_number 221
_space_group_name_Hall '-P 4 2 3'
_cell_length_a 5.047
_cell_length_b 5.047
_cell_length_c 5.047
_cell_angle_alpha 90.00
_cell_angle_beta 90.00
_cell_angle_gamma 90.00
loop_
_atom_site_label
_atom_site_type_symbol
_atom_site_fract_x
_atom_site_fract_y
_atom_site_fract_z
Fe1 Fe 0.000 0.000 0.000
P1 P 0.500 0.500 0.500
Pb1 Pb 0.000 0.000 0.500
```